The following is a DFT calculation (GGA-PBE) of a geometry-optimized AlTe4 structure.

a = 7.946 Å, b = 7.946 Å, c = 4.732 Å
α = 90.00°, β = 90.00°, γ = 90.00°
Space group I4/m (No. 87)
Unique sites:
Al: 0.000 0.000 0.000 (multiplicity 2)
Te: 0.147 0.673 0.000 (multiplicity 8)

Energy relative to the lowest polymorph listed for this composition: 0.000 eV per atom



The following is a DFT calculation (GGA-PBE) of a geometry-optimized AlTe structure.

a = 7.280 Å, b = 7.280 Å, c = 7.280 Å
α = 90.00°, β = 90.00°, γ = 90.00°
Space group Fd-3m (No. 227, origin choice 2)
Unique sites:
Al: 0.125 0.125 0.125 (multiplicity 8)
Te: 0.125 0.125 0.625 (multiplicity 8)



The following is a DFT calculation (GGA-PBE) of a geometry-optimized Al2Te structure.

a = 3.846 Å, b = 3.846 Å, c = 19.124 Å
α = 90.00°, β = 90.00°, γ = 90.00°
Space group I4_1/amd (No. 141, origin choice 2)
Unique sites:
Al: 0.000 0.250 0.302 (multiplicity 8)
Te: 0.000 0.250 0.875 (multiplicity 4)

Energy relative to the lowest polymorph listed for this composition: 0.164 eV per atom



The following is a DFT calculation (GGA-PBE) of a geometry-optimized AlTe5 structure.

a = 14.256 Å, b = 3.934 Å, c = 7.265 Å
α = 90.00°, β = 97.10°, γ = 90.00°
Space group Cm (No. 8)
Unique sites:
Al: 0.000 0.000 0.000 (multiplicity 2)
Te: 0.101 0.000 0.350 (multiplicity 2)
Te: 0.108 0.500 0.844 (multiplicity 2)
Te: 0.241 0.500 0.229 (multiplicity 2)
Te: 0.363 0.000 0.980 (multiplicity 2)
Te: 0.464 0.000 0.524 (multiplicity 2)



The following is a DFT calculation (GGA-PBE) of a geometry-optimized AlTe5 structure.

a = 9.009 Å, b = 9.009 Å, c = 9.009 Å
α = 90.00°, β = 90.00°, γ = 90.00°
Space group F-43m (No. 216)
Unique sites:
Al: 0.000 0.000 0.000 (multiplicity 4)
Te: 0.124 0.124 0.376 (multiplicity 16)
Te: 0.250 0.250 0.750 (multiplicity 4)



The following is a DFT calculation (GGA-PBE) of a geometry-optimized Al2Te structure.

a = 3.1457 Å, b = 3.1457 Å, c = 7.7067 Å
α = 90.00°, β = 90.00°, γ = 120.00°
Space group P-3m1 (No. 164)
Unique sites:
Al: 0.3333 0.6667 0.1475 (multiplicity 2)
Te: 0.0000 0.0000 0.5000 (multiplicity 1)

Energy relative to the lowest polymorph listed for this composition: 0.345 eV per atom



The following is a DFT calculation (GGA-PBE) of a geometry-optimized AlTe structure.

a = 3.9837 Å, b = 3.9837 Å, c = 7.8552 Å
α = 90.00°, β = 90.00°, γ = 120.00°
Space group P-3m1 (No. 164)
Unique sites:
Al: 0.3333 0.6667 0.1253 (multiplicity 2)
Te: 0.3333 0.6667 0.6802 (multiplicity 2)



The following is a DFT calculation (GGA-PBE) of a geometry-optimized Al2Te structure.

a = 3.9457 Å, b = 3.9457 Å, c = 5.2727 Å
α = 90.00°, β = 90.00°, γ = 120.00°
Space group P-3m1 (No. 164)
Unique sites:
Al: 0.3333 0.6667 0.3457 (multiplicity 2)
Te: 0.0000 0.0000 0.0000 (multiplicity 1)

Energy relative to the lowest polymorph listed for this composition: 0.055 eV per atom



The following is a DFT calculation (GGA-PBE) of a geometry-optimized AlTe structure.

a = 13.115 Å, b = 3.923 Å, c = 9.279 Å
α = 90.00°, β = 124.25°, γ = 90.00°
Space group Cm (No. 8)
Unique sites:
Al: 0.000 0.000 0.000 (multiplicity 2)
Al: 0.036 0.500 0.627 (multiplicity 2)
Al: 0.301 0.000 0.795 (multiplicity 2)
Te: 0.087 0.000 0.471 (multiplicity 2)
Te: 0.245 0.500 0.954 (multiplicity 2)
Te: 0.384 0.500 0.630 (multiplicity 2)



The following is a DFT calculation (GGA-PBE) of a geometry-optimized AlTe structure.

a = 9.542 Å, b = 9.542 Å, c = 5.801 Å
α = 90.00°, β = 90.00°, γ = 90.00°
Space group I4/m (No. 87)
Unique sites:
Al: 0.114 0.340 0.000 (multiplicity 8)
Te: 0.122 0.316 0.500 (multiplicity 8)



The following is a DFT calculation (GGA-PBE) of a geometry-optimized AlTe4 structure.

a = 6.788 Å, b = 6.788 Å, c = 6.788 Å
α = 90.00°, β = 90.00°, γ = 90.00°
Space group Im-3m (No. 229)
Unique sites:
Al: 0.000 0.000 0.000 (multiplicity 2)
Te: 0.250 0.250 0.250 (multiplicity 8)

Energy relative to the lowest polymorph listed for this composition: 0.027 eV per atom



The following is a DFT calculation (GGA-PBE) of a geometry-optimized AlTe5 structure.

a = 3.695 Å, b = 3.695 Å, c = 11.882 Å
α = 90.00°, β = 90.00°, γ = 90.00°
Space group P4/mmm (No. 123)
Unique sites:
Al: 0.000 0.000 0.000 (multiplicity 1)
Te: 0.000 0.000 0.332 (multiplicity 2)
Te: 0.500 0.500 0.131 (multiplicity 2)
Te: 0.500 0.500 0.500 (multiplicity 1)



Formation energy without anion corrections across the listed records, respectively: 0.1624, 0.3593, 0.1289, -0.0578, 0.5071, 0.3107, -0.0298, 0.0199, -0.1023, -0.0840, 0.1898, 0.2264 eV per atom.
Total moment across the listed records, respectively: 0.0, 0.0, 0.0, 0.0, 0.0, 0.0, 0.0, 0.0, 0.0, 0.0, 0.0, 0.0 μB/f.u..